[1]
The following is a PBE calculation of a relaxed PrInHgPb crystal, from Alexandria via LeMat-Bulk.

Values from the calculation:
- Final energy: -3.146 eV per atom
- Formation energy: -1.06 eV/f.u.
- Energy above the most stable polymorph in this dataset: 16.0 kJ per mole of atoms

Cell: 5.4564 5.4564 5.4564 Å, 60.00 60.00 60.00°
With the nearest neighbours (Å) after each atom.
Fractional positions:
Pr: 0.0000 0.0000 0.0000  4 In 3.34, 4 Hg 3.34
In: 0.7500 0.7500 0.7500  4 Pb 3.34, 4 Pr 3.34
Hg: 0.2500 0.2500 0.2500  4 Pb 3.34, 4 Pr 3.34
Pb: 0.5000 0.5000 0.5000  4 In 3.34, 4 Hg 3.34

[2]
The following is a PBE calculation of a relaxed Pr2NdP2N6 crystal, from Alexandria via LeMat-Bulk.

Values from the calculation:
- Final energy: -7.655 eV per atom
- ΔE_f (raw): -879 kJ/mol of formula units

Cell: 5.8517 5.8517 6.1692 Å, 90.00 90.00 120.00°
With the nearest neighbours (Å) after each atom.
Fractional positions:
Pr: 0.3333 0.6667 0.3499  3 N 2.41
Pr: 0.6667 0.3333 0.6501  3 N 2.41
Nd: 0.0000 0.0000 0.0000  6 N 2.51
P: 0.3333 0.6667 0.8167  3 N 1.62
P: 0.6667 0.3333 0.1833  3 N 1.62
N: 0.0838 0.3800 0.7591  1 P 1.62
N: 0.2962 0.9162 0.7591  1 P 1.62
N: 0.3800 0.2962 0.2409  1 P 1.62
N: 0.6200 0.7038 0.7591  1 P 1.62
N: 0.7038 0.0838 0.2409  1 P 1.62
N: 0.9162 0.6200 0.2409  1 P 1.62

| no. | density (kg/m³) |
| --- | --- |
| 1 | 9592 |
| 2 | 5192 |